DFT (PBEsol) results for a geometry-optimized SiIr3 structure.

Lattice parameters (Å, degrees): 5.5019 7.1210 5.5994 90.00 90.00 90.00
Last column: nearest neighbours and their distance in Å.
Positions (direct):
Si 0.0313 0.2500 0.0047  6 Ir 2.33-2.57
Si 0.4687 0.7500 0.5047  6 Ir 2.33-2.57
Si 0.5313 0.2500 0.4953  6 Ir 2.33-2.57
Si 0.9687 0.7500 0.9953  6 Ir 2.33-2.57
Ir 0.0072 0.7500 0.5805  2 Si 2.33-2.57
Ir 0.2346 0.5511 0.2332  2 Si 2.43-2.44, 3 Ir 2.71
Ir 0.2346 0.9489 0.2332  2 Si 2.43-2.44, 3 Ir 2.71
Ir 0.2654 0.0511 0.7332  2 Si 2.43-2.44, 3 Ir 2.71
Ir 0.2654 0.4489 0.7332  2 Si 2.43-2.44, 3 Ir 2.71
Ir 0.4928 0.2500 0.0805  2 Si 2.33-2.57
Ir 0.5072 0.7500 0.9195  2 Si 2.33-2.57
Ir 0.7346 0.5511 0.2668  2 Si 2.43-2.44, 3 Ir 2.71
Ir 0.7346 0.9489 0.2668  2 Si 2.43-2.44, 3 Ir 2.71
Ir 0.7654 0.0511 0.7668  2 Si 2.43-2.44, 3 Ir 2.71
Ir 0.7654 0.4489 0.7668  2 Si 2.43-2.44, 3 Ir 2.71
Ir 0.9928 0.2500 0.4195  2 Si 2.33-2.57

Output
Final energy (eV/atom): -9.126
DOS(E_F) (states/eV/atom): 0.6844
Spin magnetization (μB/f.u.): 0.00
Formation energy from raw total energies (eV per atom): -0.32
V (Å³/atom): 13.711
SG: Pnma (62)